No. 1
Here is a relaxed CsY4Tl5 crystal from Alexandria. Energies are from PBE-GGA.

Cell lengths 3.8537, 3.8537, 20.6048 Å; angles 90.00, 90.00, 90.00 degrees
Last column: nearest neighbours and their distance in Å.
Fractional positions:
Cs (0.0000, 0.0000, 0.0000)  4 Cs 3.85, 8 Tl 3.99
Y (0.0000, 0.0000, 0.2252)  8 Tl 3.23-3.32
Y (0.0000, 0.0000, 0.4081)  8 Tl 3.30-3.32
Y (0.0000, 0.0000, 0.5919)  8 Tl 3.30-3.32
Y (0.0000, 0.0000, 0.7748)  8 Tl 3.23-3.32
Tl (0.5000, 0.5000, 0.1413)  4 Y 3.23
Tl (0.5000, 0.5000, 0.3175)  8 Y 3.30-3.32, 1 Tl 3.63
Tl (0.5000, 0.5000, 0.5000)  8 Y 3.32
Tl (0.5000, 0.5000, 0.6825)  8 Y 3.30-3.32, 1 Tl 3.63
Tl (0.5000, 0.5000, 0.8587)  4 Y 3.23

Computed properties:
* symmetry: P4/mmm, No. 123
* calculated total energy: -4.15 eV per atom
* DOS(E_F): 6.36 states/eV per cell



No. 2
Here is a relaxed CsYTl3 crystal from Alexandria. Energies are from PBE-GGA.

Cell lengths 6.1727, 6.1727, 6.1727 Å; angles 90.00, 90.00, 90.00 degrees
Last column: nearest neighbours and their distance in Å.
Fractional positions:
Cs (0.0000, 0.0000, 0.0000)  6 Tl 3.09
Y (0.5000, 0.5000, 0.5000)  12 Tl 4.36
Tl (0.0000, 0.0000, 0.5000)  2 Cs 3.09
Tl (0.0000, 0.5000, 0.0000)  2 Cs 3.09
Tl (0.5000, 0.0000, 0.0000)  2 Cs 3.09

Computed properties:
* symmetry: Pm-3m, No. 221
* calculated total energy: -1.89 eV per atom
* DOS(E_F): 8.16 states/eV per cell



No. 3
Here is a relaxed Cs3Tl4Zn2 crystal from Alexandria. Energies are from PBE-GGA.

Cell lengths 7.5886, 7.5886, 11.4206 Å; angles 100.56, 100.56, 37.01 degrees
Last column: nearest neighbours and their distance in Å.
Fractional positions:
Cs (0.0000, 0.0000, 0.0000)  8 Tl 4.04-4.44, 4 Zn 4.30
Cs (0.3914, 0.3914, 0.6159)  6 Tl 4.02-4.12, 1 Zn 4.18, 1 Cs 4.47
Cs (0.6086, 0.6086, 0.3841)  6 Tl 4.02-4.12, 1 Zn 4.18, 1 Cs 4.47
Tl (0.1191, 0.1191, 0.6691)  2 Zn 2.91, 1 Tl 3.21
Tl (0.2714, 0.2714, 0.9151)  3 Zn 2.95-3.09, 3 Tl 3.21-3.23
Tl (0.7286, 0.7286, 0.0849)  3 Zn 2.95-3.09, 3 Tl 3.21-3.23
Tl (0.8809, 0.8809, 0.3309)  2 Zn 2.91, 1 Tl 3.21
Zn (0.3308, 0.3308, 0.1903)  5 Tl 2.91-3.09
Zn (0.6692, 0.6692, 0.8097)  5 Tl 2.91-3.09

Computed properties:
* symmetry: C2/m, No. 12
* calculated total energy: -1.64 eV per atom
* DOS(E_F): 4.91 states/eV per cell



No. 4
Here is a relaxed CsTl2Zn2 crystal from Alexandria. Energies are from PBE-GGA.

Cell lengths 9.3744, 9.3744, 3.4816 Å; angles 90.00, 90.00, 90.00 degrees
Last column: nearest neighbours and their distance in Å.
Fractional positions:
Cs (0.0000, 0.0000, 0.0000)  2 Cs 3.48, 4 Zn 3.65
Cs (0.5000, 0.5000, 0.0000)  2 Cs 3.48, 4 Zn 3.65
Tl (0.1457, 0.3543, 0.5000)  6 Zn 3.15-3.39, 2 Tl 3.48
Tl (0.3543, 0.8543, 0.5000)  6 Zn 3.15-3.39, 2 Tl 3.48
Tl (0.6457, 0.1457, 0.5000)  6 Zn 3.15-3.39, 2 Tl 3.48
Tl (0.8543, 0.6457, 0.5000)  6 Zn 3.15-3.39, 2 Tl 3.48
Zn (0.1345, 0.6345, 0.0000)  6 Tl 3.15-3.39, 2 Zn 3.48
Zn (0.3655, 0.1345, 0.0000)  6 Tl 3.15-3.39, 2 Zn 3.48
Zn (0.6345, 0.8655, 0.0000)  6 Tl 3.15-3.39, 2 Zn 3.48
Zn (0.8655, 0.3655, 0.0000)  6 Tl 3.15-3.39, 2 Zn 3.48

Computed properties:
* symmetry: P4/mbm, No. 127
* calculated total energy: -1.48 eV per atom
* DOS(E_F): 6.34 states/eV per cell
* offset from the most stable computed form: 8.9 kJ/mol of atoms



No. 5
Here is a relaxed CsTlZn crystal from Alexandria. Energies are from PBE-GGA.

Cell lengths 7.4042, 7.4042, 7.4042 Å; angles 148.86, 148.86, 44.61 degrees
Last column: nearest neighbours and their distance in Å.
Fractional positions:
Cs (0.0000, 0.0000, 0.0000)  5 Tl 3.90-4.08, 4 Cs 3.97, 5 Zn 3.98-4.03
Tl (0.2844, 0.2844, 0.0000)  4 Zn 3.01
Zn (0.7059, 0.7059, 0.0000)  4 Tl 3.01

Computed properties:
* symmetry: I4mm, No. 107
* calculated total energy: -1.41 eV per atom
* DOS(E_F): 1.47 states/eV per cell
* offset from the most stable computed form: 5.9 kJ/mol of atoms



No. 6
Here is a relaxed Cs4Tl5Zn crystal from Alexandria. Energies are from PBE-GGA.

Cell lengths 8.8488, 8.8488, 8.8488 Å; angles 99.19, 99.19, 132.90 degrees
Last column: nearest neighbours and their distance in Å.
Fractional positions:
Cs (0.0010, 0.7009, 0.7019)  1 Tl 3.71, 1 Zn 3.73
Cs (0.2991, 0.0010, 0.3000)  1 Tl 3.71, 1 Zn 3.73
Cs (0.7009, 0.9990, 0.7000)  1 Tl 3.71, 1 Zn 3.73
Cs (0.9990, 0.2991, 0.2981)  1 Tl 3.71, 1 Zn 3.73
Tl (0.2005, 0.2005, 0.0000)  1 Zn 2.88
Tl (0.3770, 0.3785, 0.7166)  1 Zn 3.01, 3 Tl 3.22-3.25
Tl (0.3785, 0.6619, 0.0015)  1 Zn 3.01, 3 Tl 3.22-3.25
Tl (0.6604, 0.3770, 0.9985)  1 Zn 3.01, 3 Tl 3.22-3.25
Tl (0.6619, 0.6604, 0.2834)  1 Zn 3.01, 3 Tl 3.22-3.25
Zn (0.7939, 0.7939, 0.0000)  5 Tl 2.88-3.01

Computed properties:
* symmetry: I4, No. 79
* calculated total energy: -1.70 eV per atom
* DOS(E_F): 5.67 states/eV per cell



No. 7
Here is a relaxed Cs2Tl2Zn crystal from Alexandria. Energies are from PBE-GGA.

Cell lengths 12.0624, 12.0624, 12.0624 Å; angles 158.17, 158.17, 31.06 degrees
Last column: nearest neighbours and their distance in Å.
Fractional positions:
Cs (0.1005, 0.1005, 0.0000)  4 Zn 3.99, 4 Tl 4.16
Cs (0.8995, 0.8995, 0.0000)  4 Zn 3.99, 4 Tl 4.16
Tl (0.2500, 0.7500, 0.5000)  4 Tl 3.23
Tl (0.7500, 0.2500, 0.5000)  4 Tl 3.23
Zn (0.5000, 0.5000, 0.0000)  8 Cs 3.99

Computed properties:
* symmetry: I4/mmm, No. 139
* calculated total energy: -1.44 eV per atom
* DOS(E_F): 4.59 states/eV per cell
* offset from the most stable computed form: 10.4 kJ/mol of atoms



No. 8
Here is a relaxed Cs2Tl2Zn crystal from Alexandria. Energies are from PBE-GGA.

Cell lengths 6.9950, 6.9950, 6.9950 Å; angles 112.53, 112.53, 103.52 degrees
Last column: nearest neighbours and their distance in Å.
Fractional positions:
Cs (0.2500, 0.7500, 0.5000)  4 Tl 3.95, 2 Cs 4.33
Cs (0.7500, 0.2500, 0.5000)  4 Tl 3.95, 2 Cs 4.33
Tl (0.1685, 0.1685, 0.0000)  1 Zn 2.87, 1 Tl 2.92
Tl (0.8315, 0.8315, 0.0000)  1 Zn 2.87, 1 Tl 2.92
Zn (0.5000, 0.5000, 0.0000)  2 Tl 2.87

Computed properties:
* symmetry: I4/mmm, No. 139
* calculated total energy: -1.40 eV per atom
* DOS(E_F): 4.08 states/eV per cell
* offset from the most stable computed form: 14.3 kJ/mol of atoms